# 1
VASP calculation (PBE) on ErLuThTi after structural relaxation.

As for the formation energy: 0.20 eV/atom. The calculation puts the density of states at the Fermi level at 1.6585 states/eV per atom. The space group is No. 216. Its uncorrected energy is -23.59 eV/cell.

Geometry as POSCAR:
```
ErLuThTi
1.0
-3.998 -3.507 -0.676
-0.602 -4.073 3.433
-4.135 -0.042 3.412
Lu Ti Th Er
1 1 1 1
direct
0.750 0.750 0.750
0.250 0.250 0.250
0.000 0.000 0.000
0.500 0.500 0.500
```


# 2
VASP calculation (PBE) on NdCuGe2Pt after structural relaxation.

As for the formation energy: -0.71 eV/atom. The calculation puts the density of states at the Fermi level at 0.5041 states/eV per atom. The space group is No. 119. Its uncorrected energy is -27.71 eV/cell.

Geometry as POSCAR:
```
NdCuGe2Pt
1.0
4.244 0.000 0.000
0.000 4.244 0.000
-2.122 -2.122 5.188
Nd Cu Ge Pt
1 1 2 1
direct
0.000 0.000 0.000
0.250 0.750 0.500
0.621 0.621 0.242
0.379 0.379 0.758
0.750 0.250 0.500
```